Density functional theory data (PBE) for a geometry-optimized Tm2FeC2 structure.

Calculated values
final energy = -74.66 eV for the cell shown

Cell: 5.9006 5.9006 6.5660 Å, 117.88 117.88 49.39°
Site moments in Bohr magnetons follow the coordinates.
Fractional coordinates of all 10 atoms:
Tm: 0.9602 0.9602 0.7192  -0.06
Tm: 0.0398 0.0398 0.2808  -0.06
Tm: 0.3185 0.3185 0.8892  -0.03
Tm: 0.6815 0.6815 0.1108  -0.03
C: 0.1829 0.1829 0.1064  0.03
C: 0.5163 0.5163 0.2958  -0.04
C: 0.8171 0.8171 0.8936  0.03
C: 0.4837 0.4837 0.7042  -0.04
Fe: 0.6295 0.6295 0.6304  0.76
Fe: 0.3705 0.3705 0.3696  0.76

***

Density functional theory data (PBE) for a geometry-optimized LaNdPd structure.

Calculated values
ΔH_f (0 K) = -0.373 eV per atom
final energy = -15.98 eV for the cell shown

Cell: 5.0521 5.0521 5.0521 Å, 60.00 60.00 60.00°
Site moments in Bohr magnetons follow the coordinates.
Fractional coordinates of all 3 atoms:
Nd: 0.7500 0.7500 0.7500  0.09
Pd: 0.0000 0.0000 0.0000  0.01
La: 0.2500 0.2500 0.2500  0.09

***

Density functional theory data (PBE) for a geometry-optimized Nb3FeS6 structure.

Calculated values
final energy = -146.58 eV for the cell shown

Cell: 5.7966 5.7966 12.0569 Å, 90.04 89.96 119.94°
Site moments in Bohr magnetons follow the coordinates.
Fractional coordinates of all 20 atoms:
S: 0.9993 0.3316 0.3692  0.04
S: 0.3316 0.9993 0.6308  0.04
S: 0.3325 0.3333 0.1307  0.04
S: 0.3333 0.3325 0.8693  0.04
S: 0.0007 0.6683 0.8692  0.04
S: 0.6674 0.6675 0.3693  0.04
S: 0.9992 0.3324 0.6309  0.04
S: 0.6677 0.0001 0.8691  0.04
S: 0.3324 0.9992 0.3691  0.04
S: 0.0001 0.6677 0.1309  0.04
S: 0.6683 0.0007 0.1308  0.04
S: 0.6675 0.6674 0.6307  0.04
Nb: 0.3330 0.6665 0.5019  0.02
Nb: 0.6665 0.3330 0.4981  0.03
Nb: 0.6674 0.3338 0.0019  0.03
Nb: 0.3338 0.6674 0.9981  0.02
Nb: 0.9996 0.9996 0.5000  0.06
Nb: 0.9998 0.9998 0.0000  0.05
Fe: 0.6667 0.3333 0.7500  2.80
Fe: 0.3333 0.6667 0.2500  2.85